KCu2Au3: relaxed, GGA-PBE.

Lattice parameters (Å, degrees): 7.0979 7.0979 5.3523 90.00 90.00 73.41
Last column: nearest neighbours and their distance in Å.
Atoms (fractional coordinates):
K 0.1639 0.8361 0.7500  9 Au 3.44-3.62, 4 Cu 3.85
K 0.8361 0.1639 0.2500  9 Au 3.44-3.62, 4 Cu 3.85
Cu 0.3062 0.3062 0.0000  6 Au 2.62-2.66, 2 Cu 2.68
Cu 0.3062 0.3062 0.5000  6 Au 2.62-2.66, 2 Cu 2.68
Cu 0.6938 0.6938 0.0000  6 Au 2.62-2.66, 2 Cu 2.68
Cu 0.6938 0.6938 0.5000  6 Au 2.62-2.66, 2 Cu 2.68
Au 0.0226 0.5612 0.2500  4 Cu 2.62-2.65, 3 Au 2.86-2.87
Au 0.4226 0.5774 0.2500  4 Cu 2.66, 4 Au 2.87-2.98
Au 0.4388 0.9774 0.2500  4 Cu 2.62-2.65, 3 Au 2.86-2.87
Au 0.5612 0.0226 0.7500  4 Cu 2.62-2.65, 3 Au 2.86-2.87
Au 0.5774 0.4226 0.7500  4 Cu 2.66, 4 Au 2.87-2.98
Au 0.9774 0.4388 0.7500  4 Cu 2.62-2.65, 3 Au 2.86-2.87

Output
SG = Cmcm (63)
E_form = -0.13 eV per atom
Fermi-level density of states = 0.2947 states/eV per atom
total magnetization = 0.00 μB per cell